A geometry-optimized Tb4SnPt structure, computed with PBE.

```
Tb4SnPt
1.0
-1.1214 3.7167 -3.7950
0.6777 -4.4569 -4.5653
-9.3651 -4.1116 2.6237
Tb Sn Pt
8 2 2
direct
0.8937 0.3220 0.7875
0.1063 0.8220 0.2125
0.4480 0.8227 0.8959
0.5520 0.3227 0.1041
0.6988 0.5694 0.3977
0.3012 0.0694 0.6023
0.6987 0.0750 0.3973
0.3013 0.5750 0.6027
0.8443 0.8221 0.6886
0.1557 0.3221 0.3114
0.5826 0.8221 0.1651
0.4174 0.3221 0.8349
```

Formation enthalpy at 0 K ... -57.1 kJ per mole of atoms
N(E_F) ... 13.3 states/eV per cell


A geometry-optimized K4Np3SiN8 structure, computed with PBE.

```
K4Np3SiN8
1.0
-2.8105 -3.7183 -4.5860
-1.6720 -5.0464 5.1163
-2.6077 6.4068 1.0650
K Np Si N
4 3 1 8
direct
0.5000 0.0000 0.0000
0.5000 0.0000 0.5000
0.0000 0.0000 0.0000
0.0000 0.0000 0.5000
0.5000 0.5000 0.0000
0.5000 0.5000 0.5000
0.0000 0.5000 0.5000
0.0000 0.5000 0.0000
0.1815 0.6404 0.9335
0.2675 0.6951 0.5349
0.2827 0.3357 0.5654
0.7520 0.6404 0.9335
0.2480 0.3596 0.0665
0.7173 0.6643 0.4346
0.7325 0.3049 0.4651
0.8185 0.3596 0.0665
```

Formation energy without anion corrections ... -554.2 meV/atom
N(E_F) ... 12.4 states/eV per cell


A geometry-optimized Tl12BiAu6 structure, computed with PBE.

```
Tl12BiAu6
1.0
8.1072 -0.1040 -1.3204
-1.5363 7.9610 -1.3204
-0.0870 -0.1040 8.2135
Tl Bi Au
12 1 6
direct
0.3744 0.0796 0.3372
0.0796 0.3372 0.3744
0.3372 0.3744 0.0796
0.6256 0.9204 0.6628
0.9204 0.6628 0.6256
0.6628 0.6256 0.9204
0.1725 0.0634 0.6619
0.3381 0.8275 0.9366
0.9366 0.3381 0.8275
0.8275 0.9366 0.3381
0.6619 0.1725 0.0634
0.0634 0.6619 0.1725
0.0000 0.0000 0.0000
0.2769 0.4691 0.7332
0.5309 0.2668 0.7231
0.2668 0.7231 0.5309
0.7231 0.5309 0.2668
0.4691 0.7332 0.2769
0.7332 0.2769 0.4691
```

Formation enthalpy at 0 K ... 0.1 kJ per mole of atoms
N(E_F) ... 6.3 states/eV per cell


A geometry-optimized Ba5Ir structure, computed with PBE.

```
Ba5Ir
1.0
3.3475 -5.7980 0.0000
3.3475 5.7980 0.0000
0.0000 0.0000 7.2555
Ba Ir
5 1
direct
0.3333 0.6667 0.0000
0.6667 0.3333 0.0000
0.5000 0.0000 0.5000
0.0000 0.5000 0.5000
0.5000 0.5000 0.5000
0.0000 0.0000 0.0000
```

Formation enthalpy at 0 K ... 90.5 kJ per mole of atoms
ΔE to the lowest computed polymorph ... 0.972 eV per atom
N(E_F) ... 7.4 states/eV per cell


A geometry-optimized ScIn2Fe structure, computed with PBE.

```
ScIn2Fe
1.0
4.3294 0.0000 0.0000
0.0000 3.0615 0.1611
0.0000 1.8385 6.1039
Fe In Sc
1 2 1
direct
0.5000 0.7500 0.7500
0.0000 0.9436 0.9847
0.0000 0.5564 0.5153
0.5000 0.2500 0.2500
```

Formation enthalpy at 0 K ... 1.7 kJ per mole of atoms
N(E_F) ... 2.4 states/eV per cell


A geometry-optimized LaPrAg3 structure, computed with PBE.

```
LaPrAg3
1.0
3.6890 0.0000 -0.5079
0.0000 4.8618 0.0000
0.1226 0.0000 14.5408
La Pr Ag
2 2 6
direct
0.9268 0.7500 0.8535
0.0732 0.2500 0.1465
0.2083 0.7500 0.4166
0.7917 0.2500 0.5834
0.6195 0.7500 0.2389
0.3805 0.2500 0.7611
0.5233 0.7500 0.0467
0.4767 0.2500 0.9533
0.6737 0.2500 0.3473
0.3263 0.7500 0.6527
```

Formation enthalpy at 0 K ... -25.2 kJ per mole of atoms
N(E_F) ... 9.2 states/eV per cell


A geometry-optimized ReNiBW2 structure, computed with PBE.

```
ReNiBW2
1.0
-1.6407 -0.7072 -3.7428
-0.6343 -3.8733 1.0099
-3.7533 0.9947 1.4574
Re B W Ni
1 1 2 1
direct
0.0000 0.5000 0.0000
0.0000 0.0000 0.0000
0.0000 0.0000 0.5000
0.5000 0.0000 0.0000
0.5000 0.5000 0.5000
```

Formation enthalpy at 0 K ... 35.6 kJ per mole of atoms
N(E_F) ... 2.9 states/eV per cell


A geometry-optimized Mn2NiRh9 structure, computed with PBE.

```
Mn2NiRh9
1.0
-0.8394 -3.6886 -0.4110
1.9802 -0.8015 3.1489
-9.4154 1.4420 6.2880
Mn Ni Rh
2 1 9
direct
0.0000 0.0000 0.3317
0.0000 0.0000 0.6683
0.0000 0.0000 0.0000
0.5000 0.5000 0.0000
0.5000 0.5000 0.3328
0.5000 0.5000 0.6672
0.5000 0.0000 0.1659
0.5000 0.0000 0.5000
0.5000 0.0000 0.8341
0.0000 0.5000 0.1659
0.0000 0.5000 0.5000
0.0000 0.5000 0.8341
```

Formation enthalpy at 0 K ... -6.7 kJ per mole of atoms
N(E_F) ... 15.0 states/eV per cell


A geometry-optimized USbPt4 structure, computed with PBE.

```
USbPt4
1.0
-5.2105 0.1709 1.4764
-3.3074 -4.1041 -1.2551
-1.8223 -3.2986 3.8931
Sb U Pt
1 1 4
direct
0.0000 0.0000 0.0000
0.2500 0.2500 0.2500
0.6247 0.6247 0.1258
0.6247 0.1258 0.6247
0.6247 0.6247 0.6247
0.1258 0.6247 0.6247
```

Formation energy without anion corrections ... -472.1 meV/atom
N(E_F) ... 9.4 states/eV per cell


A geometry-optimized Tb2H8Rh structure, computed with PBE.

```
Tb2H8Rh
1.0
3.6502 0.0000 0.0000
0.0000 4.2380 -0.1229
-1.8251 -1.9253 6.3081
Tb H Rh
2 8 1
direct
0.8527 0.3534 0.7053
0.1473 0.6466 0.2947
0.3899 0.6538 0.7798
0.6106 0.8765 0.2212
0.7638 0.7636 0.5276
0.0002 0.2195 0.0005
0.2362 0.2364 0.4724
0.3894 0.1235 0.7788
0.6101 0.3462 0.2202
0.9998 0.7805 0.9995
0.5000 0.0000 0.0000
```

N(E_F) ... 2.5 states/eV per cell


Number 1: total DFT energy (no corrections) -5.35 eV per atom. Number 2: total DFT energy (no corrections) -7.76 eV per atom. Number 3: total DFT energy (no corrections) -2.73 eV per atom. Number 4: total DFT energy (no corrections) -2.14 eV per atom. Number 5: total DFT energy (no corrections) -5.05 eV per atom. Number 6: total DFT energy (no corrections) -3.91 eV per atom. Number 7: total DFT energy (no corrections) -9.79 eV per atom. Number 8: total DFT energy (no corrections) -7.59 eV per atom. Number 9: total DFT energy (no corrections) -7.07 eV per atom. Number 10: total DFT energy (no corrections) -4.33 eV per atom.